12
Lattice="-1.492 -2.151 6.714 -1.945 -4.083 -5.610 7.189 -1.227 -0.072" Properties=species:S:1:pos:R:3 comment="GGA-PBE Pr6PtS2Cl3, optimized geometry" sg=C2/m pbc="T T T"
Cl 1.876 -3.730 0.516
Pr -0.904 -4.872 0.797
S -1.643 -2.795 2.605
Cl 2.028 -3.080 4.661
Cl 1.724 -4.380 -3.629
Pr 3.038 -5.333 2.868
Pr 2.885 -5.988 -1.311
Pr 4.656 -2.588 0.235
Pr 0.714 -2.128 -1.836
Pr 0.867 -1.473 2.343
Pt 0.000 0.000 0.000
S -1.794 -3.439 -1.501

16
Lattice="8.216 0.000 0.000 0.000 8.524 0.209 -4.108 -4.102 5.814" Properties=species:S:1:pos:R:3 comment="GGA-PBE Pr8Pt3S4Cl, optimized geometry" sg=R-3m pbc="T T T"
S -2.054 -2.051 2.907
Pr 6.124 6.454 0.171
Pr -2.016 -2.031 5.852
S 0.000 0.000 0.000
Pr 2.016 -2.031 5.852
S 2.054 -2.051 2.907
S 4.108 0.000 0.000
Pr 0.000 0.119 2.988
Pr 0.000 4.365 3.133
Pt 4.108 4.262 0.104
Pr 2.092 6.454 0.171
Pr 4.108 4.303 3.035
Pt 2.054 2.211 3.011
Pr 4.108 0.057 2.890
Pt -2.054 2.211 3.011
Cl 0.000 4.262 0.104

8
Lattice="-1.398 3.542 1.699 -6.182 -0.593 -3.851 -5.053 -3.939 4.054" Properties=species:S:1:pos:R:3 comment="GGA-PBE Pr4PtSeCl2, optimized geometry" sg=P2/m pbc="T T T"
Cl -3.225 -0.198 2.877
Pr -8.398 -3.474 0.333
Cl -5.053 -3.939 4.054
Se -5.618 -2.266 0.102
Pt -3.790 1.475 -1.076
Pr -4.235 2.484 1.570
Pr -6.524 0.344 -0.968
Pr -6.109 -1.334 2.871

12
Lattice="4.210 0.000 0.000 0.000 8.536 0.079 0.000 -2.189 9.337" Properties=species:S:1:pos:R:3 comment="GGA-PBE Pr3PtSeCl, optimized geometry" sg=P2_1/m pbc="T T T"
Pt 3.158 0.992 7.939
Pr 1.053 5.124 4.629
Pr 3.158 3.334 1.566
Cl 3.158 6.875 3.815
Pr 1.053 3.014 7.850
Pr 1.053 -1.047 8.320
Pr 3.158 7.395 1.096
Se 3.158 5.289 7.176
Pr 3.158 1.223 4.787
Cl 1.053 -0.528 5.601
Pt 1.053 5.356 1.477
Se 1.053 1.059 2.240

8
Lattice="4.138 0.000 0.000 0.000 7.509 -0.218 0.000 2.580 6.932" Properties=species:S:1:pos:R:3 comment="GGA-PBE Pr4PtSe2Cl, optimized geometry" sg=P2/m pbc="T T T"
Pr 4.138 2.572 1.569
Se 0.000 2.580 6.932
Se 2.069 1.290 3.466
Cl 0.000 5.044 3.357
Pr 2.069 6.298 1.509
Pr 0.000 7.516 5.145
Pt 2.069 3.754 -0.109
Pr 2.069 3.790 5.205

16
Lattice="8.575 0.000 0.000 0.000 8.523 -0.042 -4.287 -4.284 6.066" Properties=species:S:1:pos:R:3 comment="GGA-PBE Pr8Si3PtCl4, optimized geometry" sg=R-3m pbc="T T T"
Pr 2.145 1.977 5.943
Pr -2.145 1.977 5.943
Si 4.287 4.261 -0.021
Pr 0.000 0.098 3.100
Cl -2.144 -2.142 3.033
Pr 2.143 2.262 0.081
Cl 2.144 -2.142 3.033
Pt 0.000 4.261 -0.021
Pr 0.000 4.119 2.909
Si 2.144 2.120 3.012
Pr 6.432 2.262 0.081
Cl 4.287 0.000 0.000
Cl 0.000 0.000 0.000
Si -2.144 2.120 3.012
Pr 4.287 4.141 2.924
Pr 4.287 0.120 3.114

no.,E_form (uncorrected) (eV/atom)
1,-1.575
2,-1.557
3,-1.467
4,-1.298
5,-1.566
6,-1.199